one | TcBrN2 | PBE | relaxed

Properties
- total magnetization (μB/cell) = 0.0

Lattice parameters (Å, degrees): 5.579 5.579 5.579 90.00 90.00 90.00
Sites, in units of the cell vectors:
Tc 0.000 0.000 0.000
Tc 0.000 0.500 0.500
Tc 0.500 0.000 0.500
Tc 0.500 0.500 0.000
Br 0.000 0.000 0.500
Br 0.000 0.500 0.000
Br 0.500 0.000 0.000
Br 0.500 0.500 0.500
N 0.250 0.250 0.250
N 0.250 0.250 0.750
N 0.250 0.750 0.250
N 0.250 0.750 0.750
N 0.750 0.250 0.250
N 0.750 0.250 0.750
N 0.750 0.750 0.250
N 0.750 0.750 0.750

two | TcBrN2 | PBE | relaxed

Properties
- total magnetization (μB/cell) = 0.0

Lattice parameters (Å, degrees): 5.948 5.948 5.948 60.00 60.00 60.00
Sites, in units of the cell vectors:
Tc 0.125 0.125 0.125
Tc 0.875 0.875 0.875
Br 0.375 0.375 0.375
Br 0.625 0.625 0.625
N 0.000 0.000 0.000
N 0.000 0.000 0.500
N 0.000 0.500 0.000
N 0.500 0.000 0.000

Name the least stable of them. one.

one | TcTe2BrN | PBE | relaxed

Properties
- total magnetization (μB/cell) = 0.0

Lattice parameters (Å, degrees): 5.505 5.505 3.717 90.00 90.00 90.00
Sites, in units of the cell vectors:
Tc 0.000 0.000 0.000
Te 0.000 0.500 0.000
Te 0.500 0.000 0.000
Br 0.500 0.500 0.500
N 0.000 0.000 0.500

two | TcTe2BrN | PBE | relaxed

Properties
- total magnetization (μB/cell) = 0.0

Lattice parameters (Å, degrees): 5.486 5.486 3.586 90.00 90.00 90.00
Sites, in units of the cell vectors:
Tc 0.000 0.000 0.000
Te 0.000 0.500 0.500
Te 0.500 0.000 0.500
Br 0.500 0.500 0.500
N 0.500 0.500 0.000

Name the least stable of them. two.

one | TcTeBrN2 | PBE | relaxed

Properties
- total magnetization (μB/cell) = 4.4

Lattice parameters (Å, degrees): 3.915 3.915 7.296 90.00 90.00 90.00
Sites, in units of the cell vectors:
Tc 0.000 0.000 0.000
Te 0.500 0.500 0.000
Br 0.500 0.500 0.500
N 0.000 0.500 0.500
N 0.500 0.000 0.500

two | TcTeBrN2 | PBE | relaxed

Properties
- total magnetization (μB/cell) = 0.0

Lattice parameters (Å, degrees): 3.941 3.941 5.768 90.00 90.00 90.00
Sites, in units of the cell vectors:
Tc 0.000 0.000 0.000
Te 0.000 0.000 0.500
Br 0.500 0.500 0.500
N 0.000 0.500 0.000
N 0.500 0.000 0.000

Name the least stable of them. one.

one | TeBr2N2 | PBE | relaxed

Properties
- total magnetization (μB/cell) = 0.0

Lattice parameters (Å, degrees): 9.629 9.629 3.291 90.00 90.00 90.00
Sites, in units of the cell vectors:
Te 0.000 0.000 0.000
Te 0.500 0.500 0.000
Br 0.213 0.287 0.000
Br 0.287 0.787 0.000
Br 0.713 0.213 0.000
Br 0.787 0.713 0.000
N 0.143 0.357 0.500
N 0.357 0.857 0.500
N 0.643 0.143 0.500
N 0.857 0.643 0.500

two | TeBr2N2 | PBE | relaxed

Properties
- total magnetization (μB/cell) = 1.4

Lattice parameters (Å, degrees): 4.152 4.152 15.668 90.00 90.00 90.00
Sites, in units of the cell vectors:
Te 0.000 0.000 0.000
Te 0.500 0.500 0.500
Br 0.000 0.000 0.290
Br 0.000 0.000 0.710
Br 0.500 0.500 0.210
Br 0.500 0.500 0.790
N 0.000 0.500 0.250
N 0.000 0.500 0.750
N 0.500 0.000 0.250
N 0.500 0.000 0.750

Name the least stable of them. two.

one | Te2BrN2 | PBE | relaxed

Properties
- total magnetization (μB/cell) = 0.0

Lattice parameters (Å, degrees): 9.425 3.855 7.942 90.00 124.79 90.00
Sites, in units of the cell vectors:
Te 0.208 0.000 0.135
Te 0.292 0.500 0.865
Te 0.708 0.500 0.135
Te 0.792 0.000 0.865
Br 0.000 0.000 0.500
Br 0.500 0.500 0.500
N 0.152 0.500 0.987
N 0.348 0.000 0.013
N 0.652 0.000 0.987
N 0.848 0.500 0.013

two | Te2BrN2 | PBE | relaxed

Properties
- total magnetization (μB/cell) = 0.8

Lattice parameters (Å, degrees): 4.816 4.816 4.053 90.00 90.00 90.00
Sites, in units of the cell vectors:
Te 0.000 0.500 0.000
Te 0.500 0.000 0.000
Br 0.000 0.000 0.500
N 0.500 0.500 0.000
N 0.500 0.500 0.500

Name the least stable of them. two.

one | Te2BrN2 | PBE | relaxed

Properties
- total magnetization (μB/cell) = 1.2

Lattice parameters (Å, degrees): 4.114 4.114 6.635 90.00 90.00 90.00
Sites, in units of the cell vectors:
Te 0.000 0.000 0.000
Te 0.000 0.000 0.500
Br 0.500 0.500 0.000
N 0.000 0.500 0.500
N 0.500 0.000 0.500

two | Te2BrN2 | PBE | relaxed

Properties
- total magnetization (μB/cell) = 2.2

Lattice parameters (Å, degrees): 6.266 6.266 3.580 90.00 90.00 90.00
Sites, in units of the cell vectors:
Te 0.000 0.500 0.000
Te 0.500 0.000 0.000
Br 0.000 0.000 0.000
N 0.000 0.000 0.500
N 0.500 0.500 0.500

three | Te2BrN2 | PBE | relaxed

Properties
- total magnetization (μB/cell) = 3.0

Lattice parameters (Å, degrees): 4.237 4.237 8.194 90.00 90.00 90.00
Sites, in units of the cell vectors:
Te 0.000 0.000 0.000
Te 0.500 0.500 0.000
Br 0.000 0.000 0.500
N 0.000 0.500 0.500
N 0.500 0.000 0.500

Name the least stable of them. two.

one | Te3BrN | PBE | relaxed

Properties
- total magnetization (μB/cell) = 0.0

Lattice parameters (Å, degrees): 5.528 5.528 5.528 90.00 90.00 90.00
Sites, in units of the cell vectors:
Te 0.000 0.000 0.500
Te 0.000 0.500 0.000
Te 0.500 0.000 0.000
Br 0.000 0.000 0.000
N 0.500 0.500 0.500

two | Te3BrN | PBE | relaxed

Properties
- total magnetization (μB/cell) = 0.0

Lattice parameters (Å, degrees): 4.874 4.874 4.874 90.00 90.00 90.00
Sites, in units of the cell vectors:
Te 0.000 0.000 0.500
Te 0.000 0.500 0.000
Te 0.500 0.000 0.000
Br 0.500 0.500 0.500
N 0.000 0.000 0.000

Name the least stable of them. one.

one | TiTe2BrN | PBE | relaxed

Properties
- total magnetization (μB/cell) = 1.9

Lattice parameters (Å, degrees): 5.667 5.667 3.713 90.00 90.00 90.00
Sites, in units of the cell vectors:
Ti 0.000 0.000 0.000
Te 0.000 0.500 0.500
Te 0.500 0.000 0.500
Br 0.500 0.500 0.500
N 0.500 0.500 0.000

two | TiTe2BrN | PBE | relaxed

Properties
- total magnetization (μB/cell) = 0.0

Lattice parameters (Å, degrees): 5.651 5.651 3.740 90.00 90.00 90.00
Sites, in units of the cell vectors:
Ti 0.000 0.000 0.000
Te 0.000 0.500 0.000
Te 0.500 0.000 0.000
Br 0.500 0.500 0.500
N 0.000 0.000 0.500

Name the least stable of them. one.